# SrSmTlIn | Alexandria | PBE | optimized geometry
data_SrSmTlIn
_cell_length_a 7.920
_cell_length_b 7.920
_cell_length_c 7.920
_cell_angle_alpha 90.00
_cell_angle_beta 90.00
_cell_angle_gamma 90.00
_symmetry_space_group_name_H-M 'F -4 3 m'
_symmetry_Int_Tables_number 216
_symmetry_space_group_name_Hall 'F -4 2 3'
loop_
_atom_site_label
_atom_site_type_symbol
_atom_site_fract_x
_atom_site_fract_y
_atom_site_fract_z
_atom_site_occupancy
Sr1 Sr 0.000 0.000 0.000 1
Sm1 Sm 0.000 0.000 0.500 1
Tl1 Tl 0.250 0.250 0.750 1
In1 In 0.250 0.250 0.250 1
# **Density of states at the Fermi level**: 3.215 states/eV/f.u.
# **DFT formation energy**: -0.374 eV/atom